A | TmSnMo | PBE | relaxed

Unit cell a=4.8798 b=4.8798 c=4.8798 alpha=60.00 beta=60.00 gamma=60.00
Sites, in units of the cell vectors:
Sn1 0.7500 0.7500 0.7500
Tm1 0.0000 0.0000 0.0000
Mo1 0.2500 0.2500 0.2500

Crystal system   cubic
Space group   F-43m, No. 216
V   82 Å³/cell

***

B | TmSnMo | PBE | relaxed

Unit cell a=4.7154 b=4.7154 c=4.7154 alpha=60.00 beta=60.00 gamma=60.00
Site moments in Bohr magnetons follow the coordinates.
Sites, in units of the cell vectors:
Mo1 0.0000 0.0000 0.0000  0.67
Tm1 0.7500 0.7500 0.7500  0.11
Sn1 0.2500 0.2500 0.2500  -0.04

Crystal system   cubic
Space group   F-43m, No. 216
V   74 Å³/cell

***

The winner here is B, beating the second structure by 534 meV/atom.

***

A | YSnMo | PBE | relaxed

Unit cell a=4.7540 b=4.7540 c=4.7540 alpha=60.00 beta=60.00 gamma=60.00
Site moments in Bohr magnetons follow the coordinates.
Sites, in units of the cell vectors:
Mo1 0.5000 0.5000 0.5000  0.32
Y1 0.0000 0.0000 0.0000  -0.03
Sn1 0.2500 0.2500 0.2500  -0.01

Crystal system   cubic
Space group   F-43m, No. 216
V   76 Å³/cell

***

B | YSnMo | PBE | relaxed

Unit cell a=4.9417 b=4.9417 c=4.9417 alpha=60.00 beta=60.00 gamma=60.00
Site moments in Bohr magnetons follow the coordinates.
Sites, in units of the cell vectors:
Sn1 0.0000 0.0000 0.0000  -0.06
Mo1 0.5000 0.5000 0.5000  2.69
Y1 0.2500 0.2500 0.2500  0.19

Crystal system   cubic
Space group   F-43m, No. 216
V   85 Å³/cell

***

The winner here is A, beating the second structure by 601 meV/atom.

***

A | SrMo2 | PBE | relaxed

Unit cell a=5.6632 b=5.6632 c=5.6632 alpha=60.00 beta=60.00 gamma=60.00
Sites, in units of the cell vectors:
Mo1 0.1250 0.6250 0.6250
Sr1 0.0000 0.0000 0.0000
Mo2 0.6250 0.6250 0.6250
Mo3 0.6250 0.6250 0.1250
Sr2 0.2500 0.2500 0.2500
Mo4 0.6250 0.1250 0.6250

Crystal system   cubic
Space group   Fd-3m, No. 227
V   128 Å³/cell

***

B | SrMo2 | PBE | relaxed

Unit cell a=4.5940 b=4.5940 c=4.5940 alpha=60.00 beta=60.00 gamma=60.00
Sites, in units of the cell vectors:
Sr1 0.0000 0.0000 0.0000
Mo1 0.2500 0.2500 0.2500
Mo2 0.7500 0.7500 0.7500

Crystal system   cubic
Space group   Fm-3m, No. 225
V   69 Å³/cell

***

The winner here is A, beating the second structure by 1928 meV/atom.

***

A | Ta2Mo | PBE | relaxed

Unit cell a=5.3708 b=5.3708 c=17.4710 alpha=90.00 beta=90.00 gamma=120.00
Sites, in units of the cell vectors:
Ta1 0.3333 0.6667 0.3758
Mo1 0.6667 0.3333 0.1557
Ta2 0.3333 0.6667 0.1242
Ta3 0.5000 0.5000 0.0000
Ta4 0.1632 0.3264 0.2500
Mo2 0.0000 0.0000 0.4050
Mo3 0.6667 0.3333 0.3443
Mo4 0.0000 0.0000 0.0950
Ta5 0.5000 0.0000 0.5000
Ta6 0.0000 0.5000 0.5000
Ta7 0.8368 0.6736 0.7500
Ta8 0.6667 0.3333 0.8758
Ta9 0.5000 0.0000 0.0000
Mo5 0.0000 0.0000 0.5950
Ta10 0.3264 0.1632 0.7500
Ta11 0.1632 0.8368 0.2500
Mo6 0.0000 0.0000 0.9050
Ta12 0.6667 0.3333 0.6242
Ta13 0.5000 0.5000 0.5000
Ta14 0.6736 0.8368 0.2500
Ta15 0.8368 0.1632 0.7500
Ta16 0.0000 0.5000 0.0000
Mo7 0.3333 0.6667 0.6557
Mo8 0.3333 0.6667 0.8443

Crystal system   hexagonal
Space group   P6_3/mmc, No. 194
V   436 Å³/cell

***

B | Ta2Mo | PBE | relaxed

Unit cell a=4.4208 b=4.4208 c=4.4208 alpha=60.00 beta=60.00 gamma=60.00
Sites, in units of the cell vectors:
Mo1 0.0000 0.0000 0.0000
Ta1 0.2500 0.2500 0.2500
Ta2 0.7500 0.7500 0.7500

Crystal system   cubic
Space group   Fm-3m, No. 225
V   61 Å³/cell

***

C | Ta2Mo | PBE | relaxed

Unit cell a=5.3669 b=5.3669 c=5.3669 alpha=60.00 beta=60.00 gamma=60.00
Sites, in units of the cell vectors:
Ta1 0.6250 0.6250 0.6250
Ta2 0.6250 0.1250 0.6250
Ta3 0.6250 0.6250 0.1250
Mo1 0.0000 0.0000 0.0000
Mo2 0.2500 0.2500 0.2500
Ta4 0.1250 0.6250 0.6250

Crystal system   cubic
Space group   Fd-3m, No. 227
V   109 Å³/cell

***

D | Ta2Mo | PBE | relaxed

Unit cell a=5.3888 b=5.3888 c=8.6922 alpha=90.00 beta=90.00 gamma=120.00
Sites, in units of the cell vectors:
Ta1 0.6590 0.8295 0.7500
Mo1 0.3333 0.6667 0.0557
Mo2 0.6667 0.3333 0.9443
Ta2 0.3410 0.1705 0.2500
Ta3 0.1705 0.8295 0.7500
Ta4 0.1705 0.3410 0.7500
Mo3 0.3333 0.6667 0.4443
Ta5 0.0000 0.0000 0.0000
Mo4 0.6667 0.3333 0.5557
Ta6 0.8295 0.1705 0.2500
Ta7 0.0000 0.0000 0.5000
Ta8 0.8295 0.6590 0.2500

Crystal system   hexagonal
Space group   P6_3/mmc, No. 194
V   219 Å³/cell

***

The winner here is C, beating the second structure by 12 meV/atom.

***

A | Ta2TcMo | PBE | relaxed

Unit cell a=6.4134 b=6.4200 c=6.4075 alpha=90.00 beta=90.00 gamma=90.00
Sites, in units of the cell vectors:
Mo1 0.7500 0.7500 0.5000
Tc1 0.7500 0.2500 0.0000
Ta1 0.9999 0.5000 0.2500
Ta2 0.4999 0.5000 0.2500
Ta3 0.5001 0.0000 0.7500
Tc2 0.7500 0.2500 0.5000
Tc3 0.2500 0.7500 0.0000
Ta4 0.9999 0.0000 0.2500
Ta5 0.5001 0.5000 0.7500
Ta6 0.0001 0.0000 0.7500
Mo2 0.7500 0.7500 0.0000
Ta7 0.4999 0.0000 0.2500
Ta8 0.0001 0.5000 0.7500
Mo3 0.2500 0.2500 0.0000
Mo4 0.2500 0.2500 0.5000
Tc4 0.2500 0.7500 0.5000

Crystal system   tetragonal
Space group   P4/mmm, No. 123
V   264 Å³/cell

***

B | Ta2TcMo | PBE | relaxed

Unit cell a=6.4120 b=4.5346 c=9.0665 alpha=90.00 beta=90.00 gamma=90.00
Sites, in units of the cell vectors:
Ta1 0.5000 0.7500 0.1250
Tc1 0.7500 0.2500 0.6250
Ta2 0.0000 0.2500 0.3750
Tc2 0.7500 0.2500 0.1250
Mo1 0.7500 0.7500 0.8750
Mo2 0.2500 0.2500 0.6250
Ta3 0.0000 0.7500 0.6250
Ta4 0.5000 0.7500 0.6250
Ta5 0.5000 0.2500 0.3750
Ta6 0.0000 0.2500 0.8750
Mo3 0.7500 0.7500 0.3750
Mo4 0.2500 0.2500 0.1250
Ta7 0.5000 0.2500 0.8750
Tc3 0.2500 0.7500 0.3750
Ta8 0.0000 0.7500 0.1250
Tc4 0.2500 0.7500 0.8750

Crystal system   cubic
Space group   Fm-3m, No. 225
V   264 Å³/cell

***

C | Ta2TcMo | PBE | relaxed

Unit cell a=4.5341 b=4.5341 c=4.5341 alpha=60.00 beta=60.00 gamma=60.00
Sites, in units of the cell vectors:
Tc1 0.0000 0.0000 0.0000
Mo1 0.7500 0.7500 0.7500
Ta1 0.2500 0.2500 0.2500
Ta2 0.5000 0.5000 0.5000

Crystal system   cubic
Space group   F-43m, No. 216
V   66 Å³/cell

***

The winner here is A, beating the second structure by 6 meV/atom.

***

A | UTaMo | PBE | relaxed

Unit cell a=4.5072 b=4.5072 c=4.5072 alpha=60.00 beta=60.00 gamma=60.00
Sites, in units of the cell vectors:
Mo1 0.0000 0.0000 0.0000
Ta1 0.2500 0.2500 0.2500
U1 0.7500 0.7500 0.7500

Crystal system   cubic
Space group   F-43m, No. 216
V   65 Å³/cell

***

B | UTaMo | PBE | relaxed

Unit cell a=4.4377 b=4.4377 c=4.4377 alpha=60.00 beta=60.00 gamma=60.00
Sites, in units of the cell vectors:
Mo1 0.2500 0.2500 0.2500
Ta1 0.7500 0.7500 0.7500
U1 0.0000 0.0000 0.0000

Crystal system   cubic
Space group   F-43m, No. 216
V   62 Å³/cell

***

The winner here is A, beating the second structure by 417 meV/atom.

***

A | Tb2Mo | PBE | relaxed

Unit cell a=5.9224 b=5.9224 c=5.9224 alpha=60.00 beta=60.00 gamma=60.00
Sites, in units of the cell vectors:
Tb1 0.6250 0.6250 0.6250
Mo1 0.0000 0.0000 0.0000
Mo2 0.2500 0.2500 0.2500
Tb2 0.1250 0.6250 0.6250
Tb3 0.6250 0.6250 0.1250
Tb4 0.6250 0.1250 0.6250

Crystal system   cubic
Space group   Fd-3m, No. 227
V   147 Å³/cell

***

B | Tb2Mo | PBE | relaxed

Unit cell a=8.1566 b=8.1566 c=8.1566 alpha=60.00 beta=60.00 gamma=60.00
Sites, in units of the cell vectors:
Tb1 0.3750 0.3750 0.8750
Tb2 0.8750 0.3750 0.3750
Mo1 0.2500 0.2500 0.2500
Mo2 0.5000 0.5000 0.5000
Tb3 0.3750 0.3750 0.3750
Tb4 0.3750 0.8750 0.3750

Crystal system   cubic
Space group   Fd-3m, No. 227
V   384 Å³/cell

***

The winner here is A, beating the second structure by 636 meV/atom.

***

A | TcMo2 | PBE | relaxed

Unit cell a=4.2468 b=4.2468 c=4.2468 alpha=60.00 beta=60.00 gamma=60.00
Sites, in units of the cell vectors:
Mo1 0.2500 0.2500 0.2500
Tc1 0.0000 0.0000 0.0000
Mo2 0.7500 0.7500 0.7500

Crystal system   cubic
Space group   Fm-3m, No. 225
V   54 Å³/cell

***

B | TcMo2 | PBE | relaxed

Unit cell a=5.1376 b=5.1376 c=5.1376 alpha=60.00 beta=60.00 gamma=60.00
Sites, in units of the cell vectors:
Tc1 0.2500 0.2500 0.2500
Mo1 0.1250 0.6250 0.6250
Tc2 0.0000 0.0000 0.0000
Mo2 0.6250 0.1250 0.6250
Mo3 0.6250 0.6250 0.6250
Mo4 0.6250 0.6250 0.1250

Crystal system   cubic
Space group   Fd-3m, No. 227
V   96 Å³/cell

***

The winner here is B, beating the second structure by 367 meV/atom.

***

A | TeMo | PBE | relaxed

Unit cell a=3.3880 b=3.3880 c=3.9657 alpha=90.00 beta=90.00 gamma=120.00
Sites, in units of the cell vectors:
Te1 0.3333 0.6667 0.2500
Mo1 0.6667 0.3333 0.7500

Crystal system   hexagonal
Space group   P-6m2, No. 187
V   39 Å³/cell

***

B | TeMo | PBE | relaxed

Unit cell a=4.0307 b=4.0307 c=4.0307 alpha=60.00 beta=60.00 gamma=60.00
Site moments in Bohr magnetons follow the coordinates.
Sites, in units of the cell vectors:
Mo1 0.0000 0.0000 0.0000  2.30
Te1 0.5000 0.5000 0.5000  -0.02

Crystal system   cubic
Space group   Fm-3m, No. 225
V   46 Å³/cell

***

C | TeMo | PBE | relaxed

Unit cell a=4.3233 b=4.3233 c=4.3233 alpha=60.00 beta=60.00 gamma=60.00
Site moments in Bohr magnetons follow the coordinates.
Sites, in units of the cell vectors:
Te1 0.2500 0.2500 0.2500  -0.04
Mo1 0.0000 0.0000 0.0000  1.17

Crystal system   cubic
Space group   F-43m, No. 216
V   57 Å³/cell

***

The winner here is A, beating the second structure by 357 meV/atom.

***

A | ThMo | PBE | relaxed

Unit cell a=4.1049 b=4.1049 c=4.1049 alpha=60.00 beta=60.00 gamma=60.00
Sites, in units of the cell vectors:
Th1 0.5000 0.5000 0.5000
Mo1 0.0000 0.0000 0.0000

Crystal system   cubic
Space group   Fm-3m, No. 225
V   49 Å³/cell

***

B | ThMo | PBE | relaxed

Unit cell a=4.3269 b=4.3269 c=4.3269 alpha=60.00 beta=60.00 gamma=60.00
Sites, in units of the cell vectors:
Th1 0.2500 0.2500 0.2500
Mo1 0.0000 0.0000 0.0000

Crystal system   cubic
Space group   F-43m, No. 216
V   57 Å³/cell

***

The winner here is A, beating the second structure by 767 meV/atom.

***

A | TlMo2 | PBE | relaxed

Unit cell a=4.4634 b=4.4634 c=4.4634 alpha=60.00 beta=60.00 gamma=60.00
Site moments in Bohr magnetons follow the coordinates.
Sites, in units of the cell vectors:
Tl1 0.0000 0.0000 0.0000  -0.01
Mo1 0.7500 0.7500 0.7500  0.20
Mo2 0.2500 0.2500 0.2500  0.20

Crystal system   cubic
Space group   Fm-3m, No. 225
V   63 Å³/cell

***

B | TlMo2 | PBE | relaxed

Unit cell a=5.4130 b=5.4130 c=5.4130 alpha=60.00 beta=60.00 gamma=60.00
Sites, in units of the cell vectors:
Mo1 0.6250 0.6250 0.6250
Mo2 0.6250 0.1250 0.6250
Mo3 0.1250 0.6250 0.6250
Tl1 0.0000 0.0000 0.0000
Mo4 0.6250 0.6250 0.1250
Tl2 0.2500 0.2500 0.2500

Crystal system   cubic
Space group   Fd-3m, No. 227
V   112 Å³/cell

***

The winner here is B, beating the second structure by 930 meV/atom.